Entry 1:
A plane-wave DFT calculation with PBE was carried out for a relaxed structure of LaY2ScMn.

abc: 5.339 5.339 5.095
angles: 90.00 90.00 90.00
Fractional positions:
La 0.000 0.000 0.000
Y 0.000 0.500 0.500
Y 0.500 0.000 0.500
Sc 0.500 0.500 0.000
Mn 0.500 0.500 0.500

Volume = 29.0 Å³/atom
Total DFT energy (no corrections) = -32.404 eV for the cell shown
Energy of formation = 0.190 eV/atom
Spin magnetization = 0.62 μB per formula unit


Entry 2:
A plane-wave DFT calculation with PBE was carried out for a relaxed structure of Cd2SiF8.

abc: 5.840 5.840 4.541
angles: 90.86 90.86 72.92
Fractional positions:
Cd 0.139 0.139 0.267
Cd 0.861 0.861 0.733
Si 0.500 0.500 0.500
F 0.102 0.102 0.768
F 0.229 0.576 0.676
F 0.374 0.374 0.220
F 0.424 0.771 0.324
F 0.576 0.229 0.676
F 0.626 0.626 0.780
F 0.771 0.424 0.324
F 0.898 0.898 0.232

Volume = 13.5 Å³/atom
Total DFT energy (no corrections) = -50.742 eV for the cell shown
Raw formation energy = -28.518 eV per formula unit
Spin magnetization = 0.00 μB per formula unit